The following is a DFT calculation (PBE) of crystalline Fe2TeCl at its relaxed geometry.

The structure in CIF format:
```
data_Fe2TeCl
_cell_length_a 8.064
_cell_length_b 8.064
_cell_length_c 8.064
_cell_angle_alpha 157.09
_cell_angle_beta 154.73
_cell_angle_gamma 34.37
_space_group_name_H-M_alt 'P 1'
_space_group_IT_number 1
loop_
_space_group_symop_operation_xyz
'x,y,z'
loop_
_atom_site_label
_atom_site_fract_x
_atom_site_fract_y
_atom_site_fract_z
Te1 0.501 0.501 0.000
Fe1 0.934 0.934 0.000
Fe2 0.818 0.318 0.500
Cl1 0.247 0.747 0.500
```

Total magnetic moment: 5.10 μB/cell
Space-group type: Imm2
E_form (uncorrected): 0.102 eV per atom
Energy above the lowest structure with this stoichiometry: 0.2583 eV/atom

***

The following is a DFT calculation (PBE) of crystalline Li4Sm9Tl11 at its relaxed geometry.

The structure in CIF format:
```
data_Li4Sm9Tl11
_cell_length_a 3.552
_cell_length_b 13.825
_cell_length_c 13.825
_cell_angle_alpha 111.19
_cell_angle_beta 90.00
_cell_angle_gamma 90.00
_space_group_name_H-M_alt 'P 1'
_space_group_IT_number 1
loop_
_space_group_symop_operation_xyz
'x,y,z'
loop_
_atom_site_label
_atom_site_fract_x
_atom_site_fract_y
_atom_site_fract_z
Li1 0.500 0.544 0.744
Li2 0.500 0.456 0.256
Li3 0.500 0.744 0.544
Li4 0.500 0.256 0.456
Sm1 0.500 0.634 0.140
Sm2 0.500 0.366 0.860
Sm3 0.500 0.140 0.634
Sm4 0.500 0.860 0.366
Sm5 0.500 0.783 0.935
Sm6 0.500 0.217 0.065
Sm7 0.500 0.935 0.783
Sm8 0.500 0.065 0.217
Sm9 0.500 0.500 0.500
Tl1 0.000 0.579 0.921
Tl2 0.000 0.421 0.079
Tl3 0.000 0.921 0.579
Tl4 0.000 0.079 0.421
Tl5 0.000 0.638 0.362
Tl6 0.000 0.362 0.638
Tl7 0.000 0.844 0.156
Tl8 0.000 0.156 0.844
Tl9 0.000 0.000 0.000
Tl10 0.000 0.699 0.699
Tl11 0.000 0.301 0.301
```

Total magnetic moment: 0.59 μB/cell
Formation energy: -0.2969 eV per atom
Space-group type: Cmmm

***

The following is a DFT calculation (PBE) of crystalline LiGa2Pt4 at its relaxed geometry.

The structure in CIF format:
```
data_LiGa2Pt4
_cell_length_a 5.255
_cell_length_b 5.255
_cell_length_c 5.255
_cell_angle_alpha 98.48
_cell_angle_beta 115.23
_cell_angle_gamma 115.23
_space_group_name_H-M_alt 'P 1'
_space_group_IT_number 1
loop_
_space_group_symop_operation_xyz
'x,y,z'
loop_
_atom_site_label
_atom_site_fract_x
_atom_site_fract_y
_atom_site_fract_z
Li1 0.000 0.000 0.000
Ga1 0.500 0.500 0.000
Ga2 0.500 0.000 0.500
Pt1 0.500 0.000 0.000
Pt2 0.500 0.500 0.500
Pt3 0.000 0.000 0.500
Pt4 0.000 0.500 0.000
```

Total magnetic moment: 0.00 μB/cell
Formation energy: -0.5621 eV per atom
Space-group type: I4/mmm
Energy above the lowest structure with this stoichiometry: 0.0000 eV/atom

***

The following is a DFT calculation (PBE) of crystalline KTc2Ir at its relaxed geometry.

The structure in CIF format:
```
data_KTc2Ir
_cell_length_a 4.517
_cell_length_b 3.927
_cell_length_c 3.927
_cell_angle_alpha 90.00
_cell_angle_beta 90.00
_cell_angle_gamma 90.00
_space_group_name_H-M_alt 'P 1'
_space_group_IT_number 1
loop_
_space_group_symop_operation_xyz
'x,y,z'
loop_
_atom_site_label
_atom_site_fract_x
_atom_site_fract_y
_atom_site_fract_z
Ir1 0.500 0.500 0.000
K1 0.500 0.000 0.500
Tc1 0.000 0.000 0.000
Tc2 0.000 0.500 0.500
```

Total magnetic moment: 1.54 μB/cell
Formation energy: 1.6144 eV per atom
Space-group type: P4/mmm
Energy above the lowest structure with this stoichiometry: 1.0121 eV/atom

***

no.,final energy (eV/atom)
1,-5.38
2,-3.47
3,-5.15
4,-6.06